Entry from OQMD: Ho2Ni2Ag after structural relaxation (GGA-PBE).

a = 7.273 Å, b = 7.273 Å, c = 3.605 Å
α = 90.00°, β = 90.00°, γ = 90.00°
Fractional positions:
Ag (0.000, 0.000, 0.000)
Ag (0.500, 0.500, 0.000)
Ni (0.881, 0.619, 0.000)
Ni (0.119, 0.381, 0.000)
Ni (0.381, 0.881, 0.000)
Ni (0.619, 0.119, 0.000)
Ho (0.324, 0.176, 0.500)
Ho (0.676, 0.824, 0.500)
Ho (0.824, 0.324, 0.500)
Ho (0.176, 0.676, 0.500)

Values from the calculation:
ΔE_f: -435.0 meV/atom
space-group type: P4/mbm (127)